# 1
Density functional theory data (GGA-PBE) for a relaxed CdCuRh2 crystal.

## Properties
* total magnetization: 0.00 μB per formula unit
* energy: -4.72 eV/atom
* volume: 15.4 Å³/atom
* Fermi-level density of states: 5.3 states/eV per cell

a b c (Å): 2.757 2.757 9.233
angles (deg): 90.00 90.00 118.59
Fractional coordinates of all 4 atoms:
Cu: 0.500 0.500 0.762
Rh: 0.000 0.000 0.995
Rh: 0.500 0.500 0.239
Cd: 0.000 0.000 0.504



# 2
Density functional theory data (GGA-PBE) for a relaxed CdCu2Rh crystal.

## Properties
* total magnetization: 0.62 μB per formula unit
* energy: -4.00 eV/atom
* volume: 14.8 Å³/atom
* Fermi-level density of states: 2.7 states/eV per cell

a b c (Å): 8.982 8.982 8.982
angles (deg): 17.84 17.84 17.84
Each line ends with the local moment (μB).
Fractional coordinates of all 4 atoms:
Cd: 0.750 0.750 0.750  -0.01
Rh: 0.250 0.250 0.250  0.61
Cu: 0.995 0.995 0.995  0.02
Cu: 0.505 0.505 0.505  0.02



# 3
Density functional theory data (GGA-PBE) for a relaxed Cd3CuRh2 crystal.

## Properties
* total magnetization: 0.00 μB per formula unit
* energy: -3.66 eV/atom
* volume: 16.8 Å³/atom
* Fermi-level density of states: 2.5 states/eV per cell

a b c (Å): 3.579 4.327 6.862
angles (deg): 108.38 90.00 90.00
Fractional coordinates of all 6 atoms:
Rh: 0.000 0.661 0.322
Cd: 0.500 0.832 0.664
Cd: 0.500 0.168 0.336
Cu: 0.000 0.000 0.000
Cd: 0.500 0.500 0.000
Rh: 0.000 0.339 0.678



# 4
Density functional theory data (GGA-PBE) for a relaxed CdCu2Rh crystal.

## Properties
* total magnetization: 0.52 μB per formula unit
* energy: -3.73 eV/atom
* volume: 16.4 Å³/atom
* Fermi-level density of states: 2.7 states/eV per cell

a b c (Å): 5.853 5.853 5.853
angles (deg): 54.54 152.96 133.59
Each line ends with the local moment (μB).
Fractional coordinates of all 4 atoms:
Cd: 0.000 0.500 0.500  0.00
Rh: 0.000 0.000 0.000  0.48
Cu: 0.000 0.759 0.759  0.01
Cu: 0.000 0.241 0.241  0.01



# 5
Density functional theory data (GGA-PBE) for a relaxed Cd2CuRh2 crystal.

## Properties
* total magnetization: 0.00 μB per formula unit
* energy: -3.54 eV/atom
* volume: 19.1 Å³/atom
* Fermi-level density of states: 4.7 states/eV per cell

a b c (Å): 3.875 3.875 6.911
angles (deg): 73.72 73.72 90.00
Fractional coordinates of all 5 atoms:
Cd: 0.750 0.250 0.500
Rh: 0.596 0.596 0.808
Cu: 0.000 0.000 0.000
Cd: 0.250 0.750 0.500
Rh: 0.404 0.404 0.192



# 6
Density functional theory data (GGA-PBE) for a relaxed CdCu2Rh crystal.

## Properties
* total magnetization: 0.00 μB per formula unit
* energy: -4.10 eV/atom
* volume: 14.5 Å³/atom
* Fermi-level density of states: 1.8 states/eV per cell

a b c (Å): 4.563 4.563 4.571
angles (deg): 127.48 127.47 77.39
Fractional coordinates of all 4 atoms:
Cu: 0.500 0.500 0.000
Rh: 0.750 0.250 0.500
Cu: 0.000 0.000 0.000
Cd: 0.250 0.750 0.500



# 7
Density functional theory data (GGA-PBE) for a relaxed Sc4CdCuRh2 crystal.

## Properties
* total magnetization: 0.00 μB per formula unit
* energy: -6.23 eV/atom
* volume: 18.3 Å³/atom
* Fermi-level density of states: 5.7 states/eV per cell

a b c (Å): 4.677 4.677 8.170
angles (deg): 73.37 73.37 60.00
Fractional coordinates of all 8 atoms:
Rh: 0.750 0.750 0.750
Cu: 0.500 0.500 0.500
Rh: 0.250 0.250 0.250
Sc: 0.871 0.871 0.388
Sc: 0.619 0.619 0.143
Cd: 0.000 0.000 0.000
Sc: 0.381 0.381 0.857
Sc: 0.129 0.129 0.612



# 8
Density functional theory data (GGA-PBE) for a relaxed Sc4CdCu2Rh crystal.

## Properties
* total magnetization: 0.00 μB per formula unit
* energy: -5.67 eV/atom
* volume: 18.5 Å³/atom
* Fermi-level density of states: 6.1 states/eV per cell

a b c (Å): 4.705 4.705 8.170
angles (deg): 73.26 73.26 60.00
Fractional coordinates of all 8 atoms:
Cd: 0.000 0.000 0.000
Sc: 0.617 0.617 0.149
Cu: 0.255 0.255 0.234
Sc: 0.869 0.869 0.393
Rh: 0.500 0.500 0.500
Sc: 0.383 0.383 0.851
Cu: 0.745 0.745 0.766
Sc: 0.131 0.131 0.607



# 9
Density functional theory data (GGA-PBE) for a relaxed ScCdCuRh crystal.

## Properties
* total magnetization: 0.00 μB per formula unit
* energy: -5.06 eV/atom
* volume: 16.8 Å³/atom
* Fermi-level density of states: 2.9 states/eV per cell

a b c (Å): 4.567 4.567 4.567
angles (deg): 60.00 60.00 60.00
Fractional coordinates of all 4 atoms:
Sc: 0.250 0.250 0.250
Cd: 0.750 0.750 0.750
Rh: 0.500 0.500 0.500
Cu: 0.000 0.000 0.000



# 10
Density functional theory data (GGA-PBE) for a relaxed SmCdCuRh crystal.

## Properties
* total magnetization: 0.00 μB per formula unit
* energy: -4.57 eV/atom
* volume: 19.4 Å³/atom
* Fermi-level density of states: 2.5 states/eV per cell

a b c (Å): 4.786 4.786 4.786
angles (deg): 60.00 60.00 60.00
Fractional coordinates of all 4 atoms:
Cu: 0.500 0.500 0.500
Sm: 0.250 0.250 0.250
Rh: 0.000 0.000 0.000
Cd: 0.750 0.750 0.750



# 11
Density functional theory data (GGA-PBE) for a relaxed CdCuSnRh crystal.

## Properties
* total magnetization: 0.00 μB per formula unit
* energy: -4.19 eV/atom
* volume: 17.0 Å³/atom
* Fermi-level density of states: 3.1 states/eV per cell

a b c (Å): 4.583 4.583 4.583
angles (deg): 60.00 60.00 60.00
Fractional coordinates of all 4 atoms:
Sn: 0.250 0.250 0.250
Cd: 0.750 0.750 0.750
Cu: 0.500 0.500 0.500
Rh: 0.000 0.000 0.000



# 12
Density functional theory data (GGA-PBE) for a relaxed CdCuSn2Rh crystal.

## Properties
* total magnetization: 0.00 μB per formula unit
* energy: -3.50 eV/atom
* volume: 23.2 Å³/atom
* Fermi-level density of states: 2.4 states/eV per cell

a b c (Å): 4.898 4.838 4.898
angles (deg): 90.00 90.00 90.00
Fractional coordinates of all 5 atoms:
Rh: 0.500 0.500 0.500
Sn: 0.000 0.000 0.500
Cu: 0.000 0.000 0.000
Sn: 0.500 0.000 0.000
Cd: 0.000 0.500 0.000



# 13
Density functional theory data (GGA-PBE) for a relaxed SrCd2CuRh crystal.

## Properties
* total magnetization: 0.00 μB per formula unit
* energy: -3.00 eV/atom
* volume: 26.1 Å³/atom
* Fermi-level density of states: 2.0 states/eV per cell

a b c (Å): 5.161 5.161 4.896
angles (deg): 90.00 90.00 90.00
Fractional coordinates of all 5 atoms:
Sr: 0.500 0.500 0.500
Rh: 0.000 0.000 0.000
Cd: 0.000 0.500 0.000
Cd: 0.500 0.000 0.000
Cu: 0.000 0.000 0.500



# 14
Density functional theory data (GGA-PBE) for a relaxed ThCdCuRh crystal.

## Properties
* total magnetization: 0.00 μB per formula unit
* energy: -5.27 eV/atom
* volume: 20.2 Å³/atom
* Fermi-level density of states: 3.4 states/eV per cell

a b c (Å): 4.852 4.852 4.852
angles (deg): 60.00 60.00 60.00
Fractional coordinates of all 4 atoms:
Cu: 0.500 0.500 0.500
Th: 0.250 0.250 0.250
Rh: 0.000 0.000 0.000
Cd: 0.750 0.750 0.750



# 15
Density functional theory data (GGA-PBE) for a relaxed TiCdCu2Rh crystal.

## Properties
* total magnetization: 0.00 μB per formula unit
* energy: -4.35 eV/atom
* volume: 20.3 Å³/atom
* Fermi-level density of states: 3.9 states/eV per cell

a b c (Å): 4.769 4.456 4.769
angles (deg): 90.00 90.00 90.00
Fractional coordinates of all 5 atoms:
Ti: 0.000 0.500 0.000
Cu: 0.000 0.000 0.500
Cu: 0.500 0.000 0.000
Rh: 0.000 0.000 0.000
Cd: 0.500 0.500 0.500



# 16
Density functional theory data (GGA-PBE) for a relaxed TlCdCuRh crystal.

## Properties
* total magnetization: 0.00 μB per formula unit
* energy: -3.57 eV/atom
* volume: 17.5 Å³/atom
* Fermi-level density of states: 1.8 states/eV per cell

a b c (Å): 4.624 4.624 4.624
angles (deg): 60.00 60.00 60.00
Fractional coordinates of all 4 atoms:
Rh: 0.500 0.500 0.500
Tl: 0.250 0.250 0.250
Cu: 0.000 0.000 0.000
Cd: 0.750 0.750 0.750



# 17
Density functional theory data (GGA-PBE) for a relaxed CdCu2RhW crystal.

## Properties
* total magnetization: 0.00 μB per formula unit
* energy: -4.03 eV/atom
* volume: 22.0 Å³/atom
* Fermi-level density of states: 8.1 states/eV per cell

a b c (Å): 4.601 5.197 4.601
angles (deg): 90.00 90.00 90.00
Fractional coordinates of all 5 atoms:
Cu: 0.500 0.000 0.000
W: 0.000 0.000 0.000
Cu: 0.000 0.000 0.500
Rh: 0.500 0.500 0.500
Cd: 0.000 0.500 0.000



# 18
Density functional theory data (GGA-PBE) for a relaxed CdCuRh2W crystal.

## Properties
* total magnetization: 3.00 μB per formula unit
* energy: -4.58 eV/atom
* volume: 20.7 Å³/atom
* Fermi-level density of states: 5.7 states/eV per cell

a b c (Å): 4.815 4.459 4.815
angles (deg): 90.00 90.00 90.00
Each line ends with the local moment (μB).
Fractional coordinates of all 5 atoms:
Rh: 0.000 0.000 0.500  0.00
Rh: 0.500 0.000 0.000  0.08
W: 0.500 0.500 0.500  2.25
Cd: 0.000 0.000 0.000  -0.02
Cu: 0.000 0.500 0.000  0.04



# 19
Density functional theory data (GGA-PBE) for a relaxed YCdCuRh crystal.

## Properties
* total magnetization: 0.00 μB per formula unit
* energy: -5.06 eV/atom
* volume: 18.7 Å³/atom
* Fermi-level density of states: 2.2 states/eV per cell

a b c (Å): 4.730 4.730 4.730
angles (deg): 60.00 60.00 60.00
Fractional coordinates of all 4 atoms:
Cd: 0.250 0.250 0.250
Y: 0.750 0.750 0.750
Cu: 0.000 0.000 0.000
Rh: 0.500 0.500 0.500



# 20
Density functional theory data (GGA-PBE) for a relaxed ZnCdCuRh crystal.

## Properties
* total magnetization: 0.00 μB per formula unit
* energy: -3.58 eV/atom
* volume: 15.0 Å³/atom
* Fermi-level density of states: 0.9 states/eV per cell

a b c (Å): 3.757 3.892 4.116
angles (deg): 90.00 90.00 90.00
Fractional coordinates of all 4 atoms:
Zn: 0.000 0.500 0.500
Cu: 0.500 0.500 0.000
Rh: 0.500 0.000 0.500
Cd: 0.000 0.000 0.000



| no. | theoretical density (g/cm³) |
| --- | --- |
| 1 | 10.3 |
| 2 | 9.6 |
| 3 | 10.0 |
| 4 | 8.7 |
| 5 | 8.6 |
| 6 | 9.8 |
| 7 | 6.4 |
| 8 | 5.9 |
| 9 | 8.0 |
| 10 | 9.2 |
| 11 | 9.7 |
| 12 | 7.4 |
| 13 | 6.1 |
| 14 | 10.5 |
| 15 | 6.4 |
| 16 | 11.5 |
| 17 | 7.9 |
| 18 | 9.1 |
| 19 | 8.2 |
| 20 | 9.5 |